The following is a DFT calculation (PBE with a Hubbard U) of RbV4Zn3O12 after structural relaxation.

Cell: 7.0223 7.0223 7.0223 Å, 110.29 110.29 110.29°
With the nearest neighbours (Å) after each atom.
Element x y z (fractional)
Rb: 0.0000 0.0000 0.0000  6 O 2.93
V: 0.0675 0.5000 0.9325  3 O 1.76-1.82
V: 0.5000 0.5000 0.5000  3 O 1.74
V: 0.5000 0.9325 0.0675  3 O 1.76-1.82
V: 0.9325 0.0675 0.5000  3 O 1.76-1.82
Zn: 0.0000 0.5651 0.4349  6 O 2.05-2.15
Zn: 0.4349 0.0000 0.5651  6 O 2.05-2.15
Zn: 0.5651 0.4349 0.0000  6 O 2.05-2.15
O: 0.0849 0.9151 0.5000  1 V 1.76
O: 0.1261 0.6616 0.7846  1 V 1.82
O: 0.2154 0.3384 0.8739  1 V 1.82
O: 0.3384 0.8739 0.2154  1 V 1.82
O: 0.3493 0.6507 0.5000  1 V 1.74
O: 0.5000 0.0849 0.9151  1 V 1.76
O: 0.5000 0.3493 0.6507  1 V 1.74
O: 0.6507 0.5000 0.3493  1 V 1.74
O: 0.6616 0.7846 0.1261  1 V 1.82
O: 0.7846 0.1261 0.6616  1 V 1.82
O: 0.8739 0.2154 0.3384  1 V 1.82
O: 0.9151 0.5000 0.0849  1 V 1.76

Total magnetic moment = 2.999 μB per cell
N(E_F) = 6.04 states/eV per cell
Total DFT energy (no corrections) = -124.8 eV per formula unit
Space group = No. 155